This record from Alexandria describes crystalline SrCa2Ho at its relaxed geometry. The functional is PBE.

Properties
E_tot, eV/atom: -2.441
DFT formation energy, eV per atom: 0.12

Lattice parameters (Å, degrees): 12.966 12.966 12.966 17.09 17.09 17.09
Fractional coordinates of all 4 atoms:
Sr 0.000 0.000 0.000
Ca 0.244 0.244 0.244
Ca 0.756 0.756 0.756
Ho 0.500 0.500 0.500



This record from Alexandria describes crystalline CuNiBr2 at its relaxed geometry. The functional is PBE.

Properties
E_tot, eV/atom: -3.140
Energy relative to the elements, uncorrected, eV per atom: 0.166

Lattice parameters (Å, degrees): 4.088 4.088 7.115 90.00 90.00 128.92
Fractional coordinates of all 4 atoms:
Cu 0.000 0.000 0.000
Ni 0.000 0.000 0.500
Br 0.500 0.500 0.257
Br 0.500 0.500 0.743



Question: Which value of E_tot does entry 1 give?
Answer: -2.441 eV/atom